Density functional theory data (PBE) for InSbSe after structural relaxation.

Unit cell a=4.226 b=12.554 c=6.288 alpha=90.00 beta=90.00 gamma=90.00
Space group Imm2 (No. 44)
Symmetry-distinct sites (fractional):
In: 0.000 0.171 0.000 (multiplicity 4)
Sb: 0.000 0.500 0.446 (multiplicity 2)
Sb: 0.000 0.500 0.982 (multiplicity 2)
Se: 0.000 0.167 0.460 (multiplicity 4)

Density functional theory data (PBE) for ErSiIrRh after structural relaxation.

Unit cell a=3.839 b=3.992 c=9.996 alpha=90.00 beta=90.00 gamma=90.00
Space group Imm2 (No. 44)
Symmetry-distinct sites (fractional):
Er: 0.000 0.000 0.000 (multiplicity 2)
Si: 0.000 0.500 0.248 (multiplicity 2)
Ir: 0.000 0.000 0.619 (multiplicity 2)
Rh: 0.000 0.000 0.363 (multiplicity 2)

Density functional theory data (PBE) for CoSi2Os after structural relaxation.

Unit cell a=2.922 b=2.922 c=5.582 alpha=90.00 beta=90.00 gamma=90.00
Space group P4/mmm (No. 123)
Symmetry-distinct sites (fractional):
Co: 0.000 0.000 0.000 (multiplicity 1)
Si: 0.500 0.500 0.234 (multiplicity 2)
Os: 0.000 0.000 0.500 (multiplicity 1)

Energy (computed, eV/atom): -3.65 -7.21 -7.65
Energy relative to the elements, uncorrected (computed, meV/atom): -202 -661 -358
Magnetic moment (computed, μB per formula unit): 0.00 0.00 0.00